A relaxed KZn2Cd crystal, computed with GGA-PBE.

abc: 3.781 3.781 7.490
angles: 90.00 90.00 89.73
Atoms (fractional coordinates):
1 Cd 0.500 0.500 0.250
2 Zn 0.000 0.000 0.074
3 Zn 0.000 0.000 0.426
4 K 0.500 0.500 0.750

## Properties
total moment: 0.00 μB/atom
E_tot: -4.1 eV/cell
formation enthalpy at 0 K: 11.3 kJ/mol of atoms

A relaxed KZn2Cd crystal, computed with GGA-PBE.

abc: 5.882 5.882 5.882
angles: 140.61 123.69 70.88
Atoms (fractional coordinates):
1 Cd 0.537 0.537 0.000
2 Zn 0.773 0.273 0.500
3 Zn 0.950 0.950 0.000
4 K 0.240 0.740 0.500

## Properties
total moment: 0.00 μB/atom
E_tot: -3.9 eV/cell
formation enthalpy at 0 K: 15.8 kJ/mol of atoms

A relaxed KZn2Cd4 crystal, computed with GGA-PBE.

abc: 5.544 6.167 6.167
angles: 78.20 61.46 61.46
Atoms (fractional coordinates):
1 Cd 0.303 0.004 0.391
2 Cd 0.697 0.609 0.996
3 Cd 0.303 0.391 0.004
4 Cd 0.697 0.996 0.609
5 K 0.000 0.000 0.000
6 Zn 0.255 0.497 0.497
7 Zn 0.745 0.503 0.503

## Properties
total moment: 0.00 μB/atom
E_tot: -7.2 eV/cell
formation enthalpy at 0 K: 2.0 kJ/mol of atoms

A relaxed K2ZnCd crystal, computed with GGA-PBE.

abc: 9.579 9.579 7.586
angles: 50.85 50.85 90.00
Atoms (fractional coordinates):
1 Zn 0.500 0.500 0.000
2 Zn 0.250 0.750 0.500
3 K 0.607 0.125 0.250
4 K 0.375 0.393 0.750
5 K 0.143 0.625 0.250
6 K 0.875 0.857 0.750
7 Cd 0.000 0.000 0.000
8 Cd 0.750 0.250 0.500

## Properties
total moment: 0.00 μB/atom
E_tot: -7.2 eV/cell
formation enthalpy at 0 K: 18.9 kJ/mol of atoms